# ZrNp

Crystalline ZrNp at its relaxed geometry (PBE, the Open Quantum Materials Database).

The structure in CIF format:
```
data_ZrNp
_cell_length_a 6.660
_cell_length_b 4.801
_cell_length_c 15.946
_cell_angle_alpha 90.00
_cell_angle_beta 90.13
_cell_angle_gamma 90.00
_symmetry_space_group_name_H-M 'P 1 21/m 1'
_symmetry_Int_Tables_number 11
loop_
_symmetry_equiv_pos_as_xyz
'x,y,z'
'-x,-y,-z'
'-x,y+1/2,-z'
'x,-y+1/2,z'
loop_
_atom_site_label
_atom_site_type_symbol
_atom_site_fract_x
_atom_site_fract_y
_atom_site_fract_z
Zr1 Zr 0.103 0.250 0.327
Zr2 Zr 0.109 0.750 0.171
Zr3 Zr 0.338 0.250 0.826
Zr4 Zr 0.346 0.750 0.671
Zr5 Zr 0.390 0.750 0.326
Zr6 Zr 0.395 0.250 0.173
Np1 Np 0.087 0.750 0.881
Np2 Np 0.089 0.250 0.619
Np3 Np 0.184 0.750 0.485
Np4 Np 0.185 0.250 0.014
Np5 Np 0.333 0.250 0.507
Np6 Np 0.334 0.750 0.992
```

Calculated values
**Formation enthalpy at 0 K**: 0.11 eV per atom
**E above lowest polymorph**: 0.010 eV/atom

# ZrNp

Crystalline ZrNp at its relaxed geometry (PBE, the Open Quantum Materials Database).

The structure in CIF format:
```
data_ZrNp
_cell_length_a 3.060
_cell_length_b 5.110
_cell_length_c 5.573
_cell_angle_alpha 90.00
_cell_angle_beta 90.00
_cell_angle_gamma 90.00
_symmetry_space_group_name_H-M 'C m m m'
_symmetry_Int_Tables_number 65
_symmetry_space_group_name_Hall '-C 2 2'
loop_
_atom_site_label
_atom_site_type_symbol
_atom_site_fract_x
_atom_site_fract_y
_atom_site_fract_z
Zr1 Zr 0.000 0.000 0.000
Np1 Np 0.000 0.500 0.500
```

Calculated values
**Formation enthalpy at 0 K**: 0.25 eV per atom
**E above lowest polymorph**: 0.147 eV/atom